The following is a DFT calculation (PBE) of a relaxed structure of Tb2NdY5Th.

* total magnetization: 0.00 μB/cell
* symmetry: No. 140
* total energy: -5.68 eV per atom
* V: 588.98 Å³ per cell

a b c (Å): 9.8383 9.8383 9.8383
angles (deg): 126.95 126.95 78.33
Closest atoms and distances in Å follow each position.
Positions (direct):
Tb 0.1151 0.6151 0.7302  1 Tb 2.86, 2 Y 3.03
Tb 0.3849 0.1151 0.5000  1 Tb 2.86, 2 Y 3.03
Tb 0.6151 0.8849 0.5000  1 Tb 2.86, 2 Y 3.03
Tb 0.8849 0.3849 0.2698  1 Tb 2.86, 2 Y 3.03
Nd 0.2500 0.7500 0.5000  4 Y 3.11
Nd 0.7500 0.2500 0.5000  4 Y 3.11
Y 0.0000 0.0000 0.0000  4 Tb 3.53, 8 Y 3.77, 2 Th 3.81
Y 0.0717 0.1556 0.5000  1 Tb 3.03, 1 Nd 3.11
Y 0.1556 0.6556 0.0839  1 Tb 3.03, 1 Nd 3.11
Y 0.3444 0.4283 0.5000  1 Tb 3.03, 1 Nd 3.11
Y 0.4283 0.9283 0.0839  1 Tb 3.03, 1 Nd 3.11
Y 0.5000 0.5000 0.0000  4 Tb 3.53, 8 Y 3.77, 2 Th 3.81
Y 0.5717 0.0717 0.9161  1 Tb 3.03, 1 Nd 3.11
Y 0.6556 0.5717 0.5000  1 Tb 3.03, 1 Nd 3.11
Y 0.8444 0.3444 0.9161  1 Tb 3.03, 1 Nd 3.11
Y 0.9283 0.8444 0.5000  1 Tb 3.03, 1 Nd 3.11
Th 0.2500 0.2500 0.0000  10 Y 3.60-3.81
Th 0.7500 0.7500 0.0000  10 Y 3.60-3.81

=====

The following is a DFT calculation (PBE) of a relaxed structure of TbNdYTh.

* energy above the lowest structure with this stoichiometry: 132 meV per atom
* total magnetization: 0.00 μB/cell
* symmetry: No. 216
* total energy: -5.68 eV per atom
* V: 132.50 Å³ per cell

a b c (Å): 5.7223 5.7223 5.7223
angles (deg): 60.00 60.00 60.00
Closest atoms and distances in Å follow each position.
Positions (direct):
Tb 0.0000 0.0000 0.0000  4 Nd 3.50, 4 Th 3.50
Nd 0.7500 0.7500 0.7500  4 Y 3.50, 4 Tb 3.50
Y 0.5000 0.5000 0.5000  4 Nd 3.50, 4 Th 3.50
Th 0.2500 0.2500 0.2500  4 Tb 3.50, 4 Y 3.50

=====

Question: Look up the V of the first one.
Answer: 588.98 Å³ per cell

=====

Question: What is the formula in the first record?
Answer: Tb2NdY5Th